#P
A plane-wave DFT calculation with PBE was carried out for a relaxed KZnIn3 crystal.

The value obtained for the total magnetic moment is 0.00 μB/f.u. The space group is Pm-3m.

CIF file:
```
data_KZnIn3
_chemical_formula_sum 'K1 Zn1 In3'
_space_group_name_H-M_alt 'P 1'
_space_group_IT_number 1
_space_group_name_Hall 'P 1'
_cell_length_a 5.428
_cell_length_b 5.428
_cell_length_c 5.428
_cell_angle_alpha 90.00
_cell_angle_beta 90.00
_cell_angle_gamma 90.00
loop_
_atom_site_label
_atom_site_type_symbol
_atom_site_fract_x
_atom_site_fract_y
_atom_site_fract_z
In1 In 0.500 0.000 0.000
In2 In 0.000 0.500 0.000
In3 In 0.000 0.000 0.500
K1 K 0.500 0.500 0.500
Zn1 Zn 0.000 0.000 0.000
```

#Q
A plane-wave DFT calculation with PBE was carried out for a relaxed KZnIn3 crystal.

The value obtained for the total magnetic moment is 0.00 μB/f.u. The space group is Pm-3m.

CIF file:
```
data_KZnIn3
_chemical_formula_sum 'K1 Zn1 In3'
_space_group_name_H-M_alt 'P 1'
_space_group_IT_number 1
_space_group_name_Hall 'P 1'
_cell_length_a 6.299
_cell_length_b 6.299
_cell_length_c 6.299
_cell_angle_alpha 90.00
_cell_angle_beta 90.00
_cell_angle_gamma 90.00
loop_
_atom_site_label
_atom_site_type_symbol
_atom_site_fract_x
_atom_site_fract_y
_atom_site_fract_z
In1 In 0.500 0.000 0.000
In2 In 0.000 0.000 0.500
In3 In 0.000 0.500 0.000
K1 K 0.000 0.000 0.000
Zn1 Zn 0.500 0.500 0.500
```

The structure with the least stability is #Q.

#P
A plane-wave DFT calculation with PBE was carried out for a relaxed K2Zn2In crystal.

The value obtained for the total magnetic moment is 0.00 μB/f.u. The space group is P4/mbm.

CIF file:
```
data_K2Zn2In
_chemical_formula_sum 'K4 Zn4 In2'
_space_group_name_H-M_alt 'P 1'
_space_group_IT_number 1
_space_group_name_Hall 'P 1'
_cell_length_a 10.116
_cell_length_b 10.116
_cell_length_c 3.231
_cell_angle_alpha 90.00
_cell_angle_beta 90.00
_cell_angle_gamma 90.00
loop_
_atom_site_label
_atom_site_type_symbol
_atom_site_fract_x
_atom_site_fract_y
_atom_site_fract_z
In1 In 0.500 0.500 0.000
In2 In 0.000 0.000 0.000
Zn1 Zn 0.907 0.407 0.500
Zn2 Zn 0.093 0.593 0.500
Zn3 Zn 0.407 0.093 0.500
Zn4 Zn 0.593 0.907 0.500
K1 K 0.304 0.804 0.000
K2 K 0.804 0.696 0.000
K3 K 0.696 0.196 0.000
K4 K 0.196 0.304 0.000
```

#Q
A plane-wave DFT calculation with PBE was carried out for a relaxed K2Zn2In crystal.

The value obtained for the total magnetic moment is 0.00 μB/f.u. The space group is I4/mmm.

CIF file:
```
data_K2Zn2In
_chemical_formula_sum 'K2 Zn2 In1'
_space_group_name_H-M_alt 'P 1'
_space_group_IT_number 1
_space_group_name_Hall 'P 1'
_cell_length_a 3.685
_cell_length_b 3.685
_cell_length_c 12.053
_cell_angle_alpha 81.21
_cell_angle_beta 81.21
_cell_angle_gamma 90.00
loop_
_atom_site_label
_atom_site_type_symbol
_atom_site_fract_x
_atom_site_fract_y
_atom_site_fract_z
K1 K 0.383 0.383 0.233
K2 K 0.617 0.617 0.767
Zn1 Zn 0.250 0.750 0.500
Zn2 Zn 0.750 0.250 0.500
In1 In 0.000 0.000 0.000
```

The structure with the least stability is #P.